LiTc2SnN4 | GGA-PBE | relaxed

```
8
Lattice="4.6746 0.1943 0.0039 -0.1941 4.6746 0.0039 -2.2362 -2.4301 5.1533" Properties=species:S:1:pos:R:3 pbc="T T T"
Li 4.4801 4.8685 0.0083
Tc 2.3379 0.0987 2.5809
Tc -0.0955 2.3381 2.5809
Sn 0.0028 0.0031 5.1569
N 1.2206 1.3264 3.5565
N 0.9201 3.6540 1.6088
N 3.5651 1.2200 1.6088
N -1.2138 -1.3190 3.5502
```

Values from the calculation:
Total magnetic moment (μB/cell): 0.00
Formation energy (no corrections) (eV per formula unit): 1.1
DFT total energy (eV per atom): -7.3616
SG: Cm